## AgTe2Se2 (PBE)

Data for a geometry-optimized AgTe2Se2 structure.

Unit cell a=7.7704 b=7.7704 c=4.4593 alpha=90.00 beta=90.00 gamma=90.00
Last column: nearest neighbours and their distance in Å.
Positions (direct):
Ag: 0.0000 0.0000 0.0000  4 Se 2.82
Ag: 0.5000 0.5000 0.0000  4 Se 2.82
Te: 0.1521 0.3479 0.5000  2 Se 2.80
Te: 0.3479 0.8479 0.5000  2 Se 2.80
Te: 0.6521 0.1521 0.5000  2 Se 2.80
Te: 0.8479 0.6521 0.5000  2 Se 2.80
Se: 0.1938 0.6938 0.0000  2 Te 2.80, 2 Ag 2.82
Se: 0.3062 0.1938 0.0000  2 Te 2.80, 2 Ag 2.82
Se: 0.6938 0.8062 0.0000  2 Te 2.80, 2 Ag 2.82
Se: 0.8062 0.3062 0.0000  2 Te 2.80, 2 Ag 2.82

Values from the calculation:
Polymorph energy (0 for the lowest one): 187.6 meV/atom
Uncorrected formation energy: 0.255 eV per atom
Space group: P4/mbm (127)
Crystal system: tetragonal

---

## Pr2YTm5 (PBE)

Data for a geometry-optimized Pr2YTm5 structure.

Unit cell a=7.1096 b=14.2217 c=5.0300 alpha=90.00 beta=90.00 gamma=90.00
Last column: nearest neighbours and their distance in Å.
Positions (direct):
Pr: 0.2481 0.1257 0.0000  10 Tm 3.54-3.57, 2 Y 3.57
Pr: 0.2519 0.6257 0.0000  10 Tm 3.54-3.57, 2 Y 3.57
Pr: 0.7481 0.3743 0.0000  10 Tm 3.54-3.57, 2 Y 3.57
Pr: 0.7519 0.8743 0.0000  10 Tm 3.54-3.57, 2 Y 3.57
Y: 0.0000 0.5000 0.5000  8 Tm 3.55-3.57, 4 Pr 3.57
Y: 0.5000 0.0000 0.5000  8 Tm 3.55-3.57, 4 Pr 3.57
Tm: 0.0000 0.0000 0.5000  6 Tm 3.55-3.56, 4 Pr 3.55, 2 Y 3.55
Tm: 0.0009 0.7507 0.5000  4 Pr 3.54-3.56, 7 Tm 3.55-3.56, 1 Y 3.57
Tm: 0.2497 0.3746 0.0000  4 Pr 3.54-3.57, 6 Tm 3.55-3.56, 2 Y 3.56
Tm: 0.2503 0.8746 0.0000  4 Pr 3.54-3.57, 6 Tm 3.55-3.56, 2 Y 3.56
Tm: 0.4991 0.2507 0.5000  4 Pr 3.54-3.56, 7 Tm 3.55-3.56, 1 Y 3.57
Tm: 0.5000 0.5000 0.5000  6 Tm 3.55-3.56, 4 Pr 3.55, 2 Y 3.55
Tm: 0.5009 0.7493 0.5000  4 Pr 3.54-3.56, 7 Tm 3.55-3.56, 1 Y 3.57
Tm: 0.7497 0.1254 0.0000  4 Pr 3.54-3.57, 6 Tm 3.55-3.56, 2 Y 3.56
Tm: 0.7503 0.6254 0.0000  4 Pr 3.54-3.57, 6 Tm 3.55-3.56, 2 Y 3.56
Tm: 0.9991 0.2493 0.5000  4 Pr 3.54-3.56, 7 Tm 3.55-3.56, 1 Y 3.57

Values from the calculation:
Polymorph energy (0 for the lowest one): 0.0 meV/atom
Space group: Pbam (55)
Crystal system: orthorhombic
Formation enthalpy at 0 K: 0.030 eV per atom

---

## Sc5Te5As (PBE)

Data for a geometry-optimized Sc5Te5As structure.

Unit cell a=7.0825 b=7.0825 c=8.1660 alpha=107.05 beta=107.05 gamma=48.52
Last column: nearest neighbours and their distance in Å.
Positions (direct):
Sc: 0.0000 0.0000 0.0000  2 As 2.91, 4 Te 2.91-2.92
Sc: 0.3424 0.3424 0.1569  1 As 2.73, 5 Te 2.89-3.02
Sc: 0.3459 0.3459 0.6857  1 As 2.70, 5 Te 2.86-3.02
Sc: 0.6541 0.6541 0.3143  1 As 2.70, 5 Te 2.86-3.02
Sc: 0.6576 0.6576 0.8431  1 As 2.73, 5 Te 2.89-3.02
Te: 0.1634 0.1634 0.8235  5 Sc 2.91-2.95
Te: 0.1709 0.1709 0.3361  5 Sc 2.92-3.02
Te: 0.5000 0.5000 0.5000  4 Sc 2.86-2.89
Te: 0.8291 0.8291 0.6639  5 Sc 2.92-3.02
Te: 0.8366 0.8366 0.1765  5 Sc 2.91-2.95
As: 0.5000 0.5000 0.0000  6 Sc 2.70-2.91

Values from the calculation:
Uncorrected formation energy: -1.242 eV per atom
Space group: C2/m (12)
Crystal system: monoclinic

---

## LiTmCuIr (PBE)

Data for a geometry-optimized LiTmCuIr structure.

Unit cell a=4.5592 b=4.5592 c=4.5592 alpha=60.00 beta=60.00 gamma=60.00
Last column: nearest neighbours and their distance in Å.
Positions (direct):
Li: 0.0000 0.0000 0.0000  4 Ir 2.79, 4 Cu 2.79
Tm: 0.5000 0.5000 0.5000  4 Ir 2.79, 4 Cu 2.79
Cu: 0.2500 0.2500 0.2500  4 Tm 2.79, 4 Li 2.79
Ir: 0.7500 0.7500 0.7500  4 Tm 2.79, 4 Li 2.79

Values from the calculation:
Space group: F-43m (216)
Crystal system: cubic
Formation enthalpy at 0 K: -0.338 eV per atom

---

## Nd3Cu2Ni7 (PBE)

Data for a geometry-optimized Nd3Cu2Ni7 structure.

Unit cell a=8.7438 b=8.7438 c=8.7438 alpha=33.86 beta=33.86 gamma=33.86
Last column: nearest neighbours and their distance in Å.
Positions (direct):
Nd: 0.0000 0.0000 0.0000  6 Cu 2.94, 12 Ni 3.25
Nd: 0.1390 0.1390 0.1390  12 Ni 2.91-3.14, 3 Nd 3.24
Nd: 0.8610 0.8610 0.8610  12 Ni 2.91-3.14, 3 Nd 3.24
Cu: 0.3332 0.3332 0.3332  6 Ni 2.50
Cu: 0.6668 0.6668 0.6668  6 Ni 2.50
Ni: 0.0825 0.5817 0.5817  2 Cu 2.50, 5 Ni 2.54-2.56
Ni: 0.4183 0.4183 0.9175  2 Cu 2.50, 5 Ni 2.54-2.56
Ni: 0.4183 0.9175 0.4183  2 Cu 2.50, 5 Ni 2.54-2.56
Ni: 0.5000 0.5000 0.5000  6 Ni 2.56
Ni: 0.5817 0.0825 0.5817  2 Cu 2.50, 5 Ni 2.54-2.56
Ni: 0.5817 0.5817 0.0825  2 Cu 2.50, 5 Ni 2.54-2.56
Ni: 0.9175 0.4183 0.4183  2 Cu 2.50, 5 Ni 2.54-2.56

Values from the calculation:
Space group: R-3m (166)
Crystal system: trigonal
Formation enthalpy at 0 K: -0.304 eV per atom

---

## NdPaS2N (PBE)

Data for a geometry-optimized NdPaS2N structure.

Unit cell a=3.9066 b=3.9066 c=13.6867 alpha=90.00 beta=90.00 gamma=90.00
Last column: nearest neighbours and their distance in Å.
Positions (direct):
Nd: 0.2500 0.2500 0.1066  6 S 2.76-2.97
Nd: 0.7500 0.7500 0.8934  6 S 2.76-2.97
Pa: 0.2500 0.2500 0.5883  4 N 2.30
Pa: 0.7500 0.7500 0.4117  4 N 2.30
S: 0.2500 0.2500 0.3164  1 Nd 2.87, 4 Pa 3.05, 4 N 3.18
S: 0.2500 0.2500 0.8899  5 Nd 2.76-2.97
S: 0.7500 0.7500 0.1101  5 Nd 2.76-2.97
S: 0.7500 0.7500 0.6836  1 Nd 2.87, 4 Pa 3.05, 4 N 3.18
N: 0.2500 0.7500 0.5000  4 Pa 2.30
N: 0.7500 0.2500 0.5000  4 Pa 2.30

Values from the calculation:
Uncorrected formation energy: -1.901 eV per atom
Space group: P4/nmm (129)
Crystal system: tetragonal

---

| no. | calculated total energy (eV/cell) |
| --- | --- |
| 1 | -29.7 |
| 2 | -76.3 |
| 3 | -65.7 |
| 4 | -20.7 |
| 5 | -66.6 |
| 6 | -80.7 |